1.
DFT (GGA-PBE) results for crystalline Ge3SbCl at its relaxed geometry.

Computed properties:
As for the space-group type: Pm-3m. Its formation energy from raw total energies is 794 meV per atom. The value obtained for the total magnetization is 0.00 μB/atom.

Cell lengths 5.4679, 5.4679, 5.4679 Å; angles 90.00, 90.00, 90.00 degrees
Last column: nearest neighbours and their distance in Å.
Fractional positions:
Ge (0.0000, 0.0000, 0.5000)  2 Sb 2.73
Ge (0.0000, 0.5000, 0.0000)  2 Sb 2.73
Ge (0.5000, 0.0000, 0.0000)  2 Sb 2.73
Sb (0.0000, 0.0000, 0.0000)  6 Ge 2.73
Cl (0.5000, 0.5000, 0.5000)  12 Ge 3.87

***

2.
DFT (GGA-PBE) results for crystalline NaPmPN3 at its relaxed geometry.

Computed properties:
As for the space-group type: C2/m. Its formation energy from raw total energies is -417 meV per atom. The value obtained for the total magnetization is 0.00 μB/atom.

Cell lengths 6.4473, 6.4473, 6.9136 Å; angles 107.22, 107.22, 33.96 degrees
Last column: nearest neighbours and their distance in Å.
Fractional positions:
Na (0.1639, 0.1639, 0.0717)  7 N 2.47-2.63
Na (0.8361, 0.8361, 0.9283)  7 N 2.47-2.63
Pm (0.1466, 0.1466, 0.5799)  7 N 2.41-2.63
Pm (0.8534, 0.8534, 0.4201)  7 N 2.41-2.63
P (0.4918, 0.4918, 0.8198)  2 N 1.68-1.70
P (0.5082, 0.5082, 0.1802)  2 N 1.68-1.70
N (0.0078, 0.0078, 0.2302)  2 P 1.91
N (0.3521, 0.3521, 0.6751)  1 P 1.70
N (0.3776, 0.3776, 0.2067)  1 P 1.68
N (0.6224, 0.6224, 0.7933)  1 P 1.68
N (0.6479, 0.6479, 0.3249)  1 P 1.70
N (0.9922, 0.9922, 0.7698)  2 P 1.91

***

3.
DFT (GGA-PBE) results for crystalline NaMgBeFe2 at its relaxed geometry.

Computed properties:
The value obtained for the formation energy from the elements is 1.63 eV/atom. As for the space-group type: P4/mmm. The value obtained for the total magnetization is 1.05 μB/atom.

Cell lengths 4.5066, 4.5066, 4.3957 Å; angles 90.00, 90.00, 90.00 degrees
Last column: nearest neighbours and their distance in Å.
Fractional positions:
Na (0.0000, 0.0000, 0.0000)  2 Be 2.20, 4 Fe 2.25
Mg (0.5000, 0.5000, 0.5000)  8 Fe 3.15, 4 Be 3.19
Be (0.0000, 0.0000, 0.5000)  2 Na 2.20
Fe (0.0000, 0.5000, 0.0000)  2 Na 2.25
Fe (0.5000, 0.0000, 0.0000)  2 Na 2.25

***

4.
DFT (GGA-PBE) results for crystalline Na4U3OsN8 at its relaxed geometry.

Computed properties:
As for the space-group type: R-3m. Its formation energy from raw total energies is -738 meV per atom. The value obtained for the total magnetization is 0.00 μB/atom.

Cell lengths 6.8937, 6.8937, 6.8937 Å; angles 58.45, 58.45, 58.45 degrees
Last column: nearest neighbours and their distance in Å.
Fractional positions:
Na (0.0000, 0.0000, 0.0000)  6 N 2.60
Na (0.0000, 0.5000, 0.5000)  6 N 2.63-2.65
Na (0.5000, 0.0000, 0.5000)  6 N 2.63-2.65
Na (0.5000, 0.5000, 0.0000)  6 N 2.63-2.65
U (0.0000, 0.0000, 0.5000)  6 N 2.20-2.22
U (0.0000, 0.5000, 0.0000)  6 N 2.20-2.22
U (0.5000, 0.0000, 0.0000)  6 N 2.20-2.22
Os (0.5000, 0.5000, 0.5000)  6 N 2.26
N (0.2222, 0.7331, 0.7331)  2 U 2.20, 1 Os 2.26
N (0.2297, 0.2297, 0.2297)  3 U 2.22
N (0.2669, 0.2669, 0.7778)  2 U 2.20, 1 Os 2.26
N (0.2669, 0.7778, 0.2669)  2 U 2.20, 1 Os 2.26
N (0.7331, 0.2222, 0.7331)  2 U 2.20, 1 Os 2.26
N (0.7331, 0.7331, 0.2222)  2 U 2.20, 1 Os 2.26
N (0.7703, 0.7703, 0.7703)  3 U 2.22
N (0.7778, 0.2669, 0.2669)  2 U 2.20, 1 Os 2.26

***

5.
DFT (GGA-PBE) results for crystalline Ga2TcRh at its relaxed geometry.

Computed properties:
The value obtained for the formation energy from the elements is -0.33 eV/atom. As for the space-group type: Fm-3m. The value obtained for the total magnetization is 0.00 μB/atom.

Cell lengths 4.3138, 4.3138, 4.3138 Å; angles 60.00, 60.00, 60.00 degrees
Last column: nearest neighbours and their distance in Å.
Fractional positions:
Ga (0.2500, 0.2500, 0.2500)  4 Tc 2.64, 4 Rh 2.64
Ga (0.7500, 0.7500, 0.7500)  4 Rh 2.64, 4 Tc 2.64
Tc (0.0000, 0.0000, 0.0000)  8 Ga 2.64
Rh (0.5000, 0.5000, 0.5000)  8 Ga 2.64

***

6.
DFT (GGA-PBE) results for crystalline Al2SnN at its relaxed geometry.

Computed properties:
As for the space-group type: I-42d. Its formation energy from raw total energies is -264 meV per atom. The value obtained for the total magnetization is 0.00 μB/atom.

Cell lengths 6.2865, 6.2865, 6.2865 Å; angles 129.68, 129.68, 73.92 degrees
Last column: nearest neighbours and their distance in Å.
Fractional positions:
Al (0.3750, 0.2435, 0.3685)  2 N 1.94
Al (0.7565, 0.1250, 0.1315)  2 N 1.94
Al (0.8750, 0.0065, 0.6315)  2 N 1.94
Al (0.9935, 0.6250, 0.8685)  2 N 1.94
Sn (0.2500, 0.7500, 0.5000)  4 Al 2.74
Sn (0.5000, 0.5000, 0.0000)  4 Al 2.74
N (0.0000, 0.0000, 0.0000)  4 Al 1.94
N (0.7500, 0.2500, 0.5000)  4 Al 1.94

***

7.
DFT (GGA-PBE) results for crystalline MgTcPt2 at its relaxed geometry.

Computed properties:
The value obtained for the formation energy from the elements is -0.24 eV/atom. As for the space-group type: I-4m2. The value obtained for the total magnetization is 0.00 μB/atom.

Cell lengths 4.8365, 4.8365, 4.8365 Å; angles 131.88, 131.88, 70.42 degrees
Last column: nearest neighbours and their distance in Å.
Fractional positions:
Mg (0.0000, 0.0000, 0.0000)  8 Pt 2.79, 4 Tc 2.79
Tc (0.7500, 0.2500, 0.5000)  8 Pt 2.79, 4 Mg 2.79
Pt (0.2500, 0.7500, 0.5000)  4 Tc 2.79, 4 Pt 2.79, 4 Mg 2.79
Pt (0.5000, 0.5000, 0.0000)  4 Mg 2.79, 4 Tc 2.79, 4 Pt 2.79

***

8.
DFT (GGA-PBE) results for crystalline Ge2PdNO at its relaxed geometry.

Computed properties:
As for the space-group type: P4/mmm. Its formation energy from raw total energies is 1104 meV per atom. The value obtained for the total magnetization is 0.00 μB/atom.

Cell lengths 4.8452, 4.8452, 3.7801 Å; angles 90.00, 90.00, 90.00 degrees
Last column: nearest neighbours and their distance in Å.
Fractional positions:
Ge (0.0000, 0.5000, 0.0000)  2 Pd 2.42
Ge (0.5000, 0.0000, 0.0000)  2 Pd 2.42
Pd (0.0000, 0.0000, 0.0000)  2 O 1.89
N (0.5000, 0.5000, 0.5000)  8 Ge 3.07, 4 O 3.43
O (0.0000, 0.0000, 0.5000)  2 Pd 1.89

***

9.
DFT (GGA-PBE) results for crystalline KLa2Si at its relaxed geometry.

Computed properties:
As for the space-group type: I-42d. Its formation energy from raw total energies is 150 meV per atom. The value obtained for the total magnetization is 0.00 μB/atom.

Cell lengths 7.3764, 7.3764, 7.3764 Å; angles 103.83, 103.83, 121.46 degrees
Last column: nearest neighbours and their distance in Å.
Fractional positions:
K (0.0000, 0.0000, 0.0000)  2 Si 3.61, 8 La 3.77-3.92
K (0.7500, 0.2500, 0.5000)  2 Si 3.61, 8 La 3.77-3.92
La (0.1899, 0.6250, 0.0649)  2 Si 2.97
La (0.3750, 0.4399, 0.5649)  2 Si 2.97
La (0.5601, 0.1250, 0.9351)  2 Si 2.97
La (0.8750, 0.8101, 0.4351)  2 Si 2.97
Si (0.2500, 0.7500, 0.5000)  4 La 2.97
Si (0.5000, 0.5000, 0.0000)  4 La 2.97

***

10.
DFT (GGA-PBE) results for crystalline Dy4Co2Pb at its relaxed geometry.

Computed properties:
The value obtained for the formation energy from the elements is -0.20 eV/atom. As for the space-group type: Cc. The value obtained for the total magnetization is 0.00 μB/atom.

Cell lengths 8.4131, 8.4131, 6.8478 Å; angles 107.94, 107.94, 119.27 degrees
Last column: nearest neighbours and their distance in Å.
Fractional positions:
Dy (0.0461, 0.9539, 0.5000)  3 Co 2.66-2.74
Dy (0.0975, 0.5971, 0.2552)  1 Co 2.54
Dy (0.4113, 0.5155, 0.5968)  2 Co 2.65-2.75
Dy (0.5155, 0.4113, 0.0968)  2 Co 2.65-2.75
Dy (0.5787, 0.8825, 0.1729)  2 Co 2.66-2.77
Dy (0.5971, 0.0975, 0.7552)  1 Co 2.54
Dy (0.8825, 0.5787, 0.6729)  2 Co 2.66-2.77
Dy (0.9539, 0.0461, 0.0000)  3 Co 2.66-2.74
Co (0.2792, 0.8883, 0.7934)  3 Dy 2.54-2.74, 1 Pb 2.82
Co (0.6794, 0.7782, 0.5129)  5 Dy 2.65-2.77
Co (0.7782, 0.6794, 0.0129)  5 Dy 2.65-2.77
Co (0.8883, 0.2792, 0.2934)  3 Dy 2.54-2.74, 1 Pb 2.82
Pb (0.0687, 0.3463, 0.7613)  1 Co 2.82, 2 Dy 3.11-3.13
Pb (0.3463, 0.0687, 0.2613)  1 Co 2.82, 2 Dy 3.11-3.13

***

11.
DFT (GGA-PBE) results for crystalline TbDy3In2 at its relaxed geometry.

Computed properties:
The value obtained for the formation energy from the elements is 0.10 eV/atom. As for the space-group type: Immm. The value obtained for the total magnetization is 0.00 μB/atom.

Cell lengths 9.9240, 9.9240, 9.9240 Å; angles 160.26, 147.05, 38.71 degrees
Last column: nearest neighbours and their distance in Å.
Fractional positions:
Tb (0.0000, 0.0000, 0.0000)  2 Dy 2.81
Dy (0.1877, 0.1877, 0.0000)  5 In 3.14-3.38, 2 Dy 3.40
Dy (0.5000, 0.0000, 0.5000)  2 Tb 2.81
Dy (0.8123, 0.8123, 0.0000)  5 In 3.14-3.38, 2 Dy 3.40
In (0.3551, 0.3551, 0.0000)  7 Dy 3.14-3.38, 2 In 3.40
In (0.6449, 0.6449, 0.0000)  7 Dy 3.14-3.38, 2 In 3.40

***

12.
DFT (GGA-PBE) results for crystalline K3Np2AgTe6 at its relaxed geometry.

Computed properties:
As for the space-group type: C2/m. Its formation energy from raw total energies is -744 meV per atom. The value obtained for the total magnetization is 0.50 μB/atom.

Cell lengths 7.7677, 7.7677, 8.5771 Å; angles 98.66, 98.66, 119.94 degrees
Last column: nearest neighbours and their distance in Å.
Fractional positions:
K (0.0000, 0.0000, 0.0000)  6 Te 3.51-3.56
K (0.3372, 0.6628, 0.0000)  6 Te 3.53-3.56
K (0.6628, 0.3372, 0.0000)  6 Te 3.53-3.56
Np (0.1671, 0.8329, 0.5000)  6 Te 3.06-3.07
Np (0.8329, 0.1671, 0.5000)  6 Te 3.06-3.07
Ag (0.5000, 0.5000, 0.5000)  6 Te 3.12-3.13
Te (0.0914, 0.4313, 0.2944)  2 Np 3.06-3.07, 1 Ag 3.13
Te (0.2282, 0.2282, 0.7041)  2 Np 3.07, 1 Ag 3.12
Te (0.4313, 0.0914, 0.2944)  2 Np 3.06-3.07, 1 Ag 3.13
Te (0.5687, 0.9086, 0.7056)  2 Np 3.06-3.07, 1 Ag 3.13
Te (0.7718, 0.7718, 0.2959)  2 Np 3.07, 1 Ag 3.12
Te (0.9086, 0.5687, 0.7056)  2 Np 3.06-3.07, 1 Ag 3.13

***

DOS(E_F), record by record: 4.62, 3.83, 4.13, 0.60, 3.75, 3.16, 3.60, 6.06, 17.57, 8.38, 7.87, 16.60 states/eV/cell